Below is a geometry-optimized Pm2DyHoTl4 structure, with properties calculated at the GGA-PBE level.

Output
Crystal system: trigonal
Total DFT energy (no corrections) in eV per atom: -3.8763
Mass density in g cm⁻³: 10.56
Fermi-level density of states in states/eV per atom: 0.791
Calculated volume in Å³ per atom: 28.2
ΔE_f in kJ/mol of atoms: -34.5

Lattice parameters (Å, degrees): 9.402 9.402 9.402 33.51 33.51 33.51
Fractional coordinates of all 8 atoms:
Pm 0.250 0.250 0.250
Pm 0.750 0.750 0.750
Dy 0.500 0.500 0.500
Ho 0.000 0.000 0.000
Tl 0.125 0.125 0.125
Tl 0.375 0.375 0.375
Tl 0.625 0.625 0.625
Tl 0.875 0.875 0.875


Below is a geometry-optimized AgSn2Au8 structure, with properties calculated at the GGA-PBE level.

Output
Crystal system: monoclinic
Total DFT energy (no corrections) in eV per atom: -3.4025
Mass density in g cm⁻³: 15.19
Fermi-level density of states in states/eV per atom: 0.338
Calculated volume in Å³ per atom: 19.1
ΔE_f in kJ/mol of atoms: -3.1

Lattice parameters (Å, degrees): 7.874 7.874 6.626 103.75 103.75 31.83
Fractional coordinates of all 11 atoms:
Ag 0.000 0.000 0.000
Sn 0.362 0.362 0.811
Sn 0.638 0.638 0.189
Au 0.088 0.088 0.459
Au 0.179 0.179 0.904
Au 0.271 0.271 0.362
Au 0.454 0.454 0.270
Au 0.546 0.546 0.730
Au 0.729 0.729 0.638
Au 0.821 0.821 0.096
Au 0.912 0.912 0.541


Below is a geometry-optimized NbTcAsSe2 structure, with properties calculated at the GGA-PBE level.

Output
Crystal system: tetragonal
Total DFT energy (no corrections) in eV per atom: -5.6818
Mass density in g cm⁻³: 5.56
Formation energy from raw total energies in eV/atom: 0.7290
Fermi-level density of states in states/eV per atom: 0.617
Calculated volume in Å³ per atom: 25.3

Lattice parameters (Å, degrees): 4.987 4.987 5.093 90.00 90.00 90.00
Fractional coordinates of all 5 atoms:
Nb 0.000 0.000 0.000
Tc 0.500 0.500 0.500
As 0.000 0.000 0.500
Se 0.000 0.500 0.000
Se 0.500 0.000 0.000


Below is a geometry-optimized Ca4Tl2Hg structure, with properties calculated at the GGA-PBE level.

Output
Crystal system: trigonal
Total DFT energy (no corrections) in eV per atom: -2.2401
Mass density in g cm⁻³: 5.68
Fermi-level density of states in states/eV per atom: 1.006
Calculated volume in Å³ per atom: 32.1
ΔE_f in kJ/mol of atoms: -36.4

Lattice parameters (Å, degrees): 9.447 9.447 9.447 33.19 33.19 33.19
Fractional coordinates of all 7 atoms:
Ca 0.124 0.124 0.124
Ca 0.374 0.374 0.374
Ca 0.626 0.626 0.626
Ca 0.876 0.876 0.876
Tl 0.249 0.249 0.249
Tl 0.751 0.751 0.751
Hg 0.000 0.000 0.000